Computed, not measured: a geometry-optimized Cs3U2MnSe9 structure at the PBE level of DFT.

Structure (POSCAR):
```
Cs3U2MnSe9
1.0
-6.802 1.671 2.979
0.526 -2.282 -7.242
-0.987 -8.876 2.726
Se U Cs Mn
9 2 3 1
Direct
0.000 0.500 0.000 Se
0.165 0.330 0.333 Se
0.165 0.835 0.333 Se
0.835 0.165 0.667 Se
0.500 0.000 0.000 Se
0.500 0.500 0.000 Se
0.670 0.835 0.333 Se
0.835 0.670 0.667 Se
0.330 0.165 0.667 Se
0.667 0.333 0.821 U
0.333 0.667 0.179 U
0.000 0.000 0.000 Cs
0.333 0.667 0.663 Cs
0.667 0.333 0.337 Cs
0.000 0.000 0.500 Mn
```



Computed, not measured: a geometry-optimized Cs2U2MnSe6 structure at the PBE level of DFT.

Structure (POSCAR):
```
Cs2U2MnSe6
1.0
-6.646 -2.527 -0.223
4.788 -2.193 -4.782
2.886 -4.861 6.882
Se Cs Mn U
6 2 1 2
Direct
0.735 0.735 0.677 Se
0.265 0.265 0.323 Se
0.940 0.613 0.321 Se
0.387 0.060 0.679 Se
0.060 0.387 0.679 Se
0.613 0.940 0.321 Se
0.166 0.834 0.000 Cs
0.834 0.166 0.000 Cs
0.000 0.000 0.500 Mn
0.333 0.667 0.500 U
0.667 0.333 0.500 U
```



Computed, not measured: a geometry-optimized CsUMnSe3 structure at the PBE level of DFT.

Structure (POSCAR):
```
CsUMnSe3
1.0
4.710 0.000 0.000
-2.355 7.998 0.173
0.000 -2.118 9.279
U Cs Mn Se
2 2 2 6
Direct
0.360 0.720 0.446 U
0.640 0.280 0.554 U
0.640 0.279 0.051 Cs
0.360 0.721 0.949 Cs
0.995 0.991 0.642 Mn
0.005 0.009 0.358 Mn
0.827 0.655 0.626 Se
0.173 0.345 0.374 Se
0.846 0.692 0.250 Se
0.505 0.011 0.298 Se
0.154 0.308 0.750 Se
0.495 0.989 0.702 Se
```



Computed, not measured: a geometry-optimized CsU2MnSe4 structure at the PBE level of DFT.

Structure (POSCAR):
```
CsU2MnSe4
1.0
-3.545 -2.106 -0.579
1.048 0.262 7.606
-7.501 12.457 0.604
Se U Mn Cs
8 4 2 2
Direct
0.261 0.521 0.108 Se
0.000 0.000 0.500 Se
0.739 0.479 0.892 Se
0.582 0.164 0.250 Se
0.000 0.000 0.000 Se
0.418 0.836 0.750 Se
0.261 0.521 0.392 Se
0.739 0.479 0.608 Se
0.368 0.736 0.942 U
0.368 0.736 0.558 U
0.632 0.264 0.058 U
0.632 0.264 0.442 U
0.172 0.344 0.250 Mn
0.828 0.656 0.750 Mn
0.102 0.203 0.750 Cs
0.898 0.797 0.250 Cs
```



Computed, not measured: a geometry-optimized CsMnVSe3 structure at the PBE level of DFT.

Structure (POSCAR):
```
CsMnVSe3
1.0
-2.323 2.374 -1.387
1.205 -3.667 -8.293
-7.350 -3.496 6.323
V Mn Se Cs
2 2 6 2
Direct
0.250 0.085 0.606 V
0.750 0.915 0.394 V
0.750 0.310 0.835 Mn
0.250 0.690 0.165 Mn
0.250 0.519 0.883 Se
0.250 0.761 0.439 Se
0.750 0.239 0.561 Se
0.250 0.134 0.857 Se
0.750 0.481 0.117 Se
0.750 0.866 0.143 Se
0.250 0.253 0.260 Cs
0.750 0.747 0.740 Cs
```



Computed, not measured: a geometry-optimized CsYMnSe4 structure at the PBE level of DFT.

Structure (POSCAR):
```
CsYMnSe4
1.0
6.704 0.000 -0.212
0.000 6.765 0.000
-2.910 0.000 9.526
Y Se Cs Mn
2 8 2 2
Direct
0.767 0.750 0.453 Y
0.233 0.250 0.547 Y
0.580 0.250 0.429 Se
0.420 0.750 0.571 Se
0.424 0.750 0.187 Se
0.979 0.008 0.303 Se
0.021 0.992 0.697 Se
0.021 0.508 0.697 Se
0.576 0.250 0.813 Se
0.979 0.492 0.303 Se
0.745 0.750 0.942 Cs
0.255 0.250 0.058 Cs
0.779 0.250 0.665 Mn
0.221 0.750 0.335 Mn
```



Computed, not measured: a geometry-optimized CsYbMnSe3 structure at the PBE level of DFT.

Structure (POSCAR):
```
CsYbMnSe3
1.0
-8.277 0.375 0.070
7.012 -4.118 -1.589
-0.101 -4.171 10.358
Se Yb Cs Mn
6 2 2 2
Direct
0.618 0.382 0.063 Se
0.382 0.618 0.563 Se
0.618 0.382 0.437 Se
0.382 0.618 0.937 Se
0.048 0.952 0.750 Se
0.952 0.048 0.250 Se
0.000 0.000 0.000 Yb
0.000 0.000 0.500 Yb
0.261 0.739 0.250 Cs
0.739 0.261 0.750 Cs
0.541 0.459 0.250 Mn
0.459 0.541 0.750 Mn
```



Computed, not measured: a geometry-optimized CsZrMnSe4 structure at the PBE level of DFT.

Structure (POSCAR):
```
CsZrMnSe4
1.0
6.484 0.000 -0.368
0.000 6.712 0.000
-3.019 0.000 9.599
Se Cs Zr Mn
8 2 2 2
Direct
0.031 0.510 0.680 Se
0.522 0.250 0.412 Se
0.478 0.750 0.588 Se
0.436 0.750 0.192 Se
0.564 0.250 0.808 Se
0.031 0.990 0.680 Se
0.969 0.490 0.320 Se
0.969 0.010 0.320 Se
0.243 0.250 0.044 Cs
0.757 0.750 0.956 Cs
0.770 0.750 0.450 Zr
0.230 0.250 0.550 Zr
0.762 0.250 0.649 Mn
0.238 0.750 0.351 Mn
```



Computed, not measured: a geometry-optimized Cs2ZrMnSe4 structure at the PBE level of DFT.

Structure (POSCAR):
```
Cs2ZrMnSe4
1.0
6.303 0.000 0.000
3.151 7.468 0.000
3.151 0.000 13.168
Mn Zr Cs Se
2 2 4 8
Direct
0.500 0.000 0.000 Mn
0.250 0.500 0.500 Mn
0.000 0.000 0.000 Zr
0.750 0.500 0.500 Zr
0.928 0.500 0.144 Cs
0.822 0.000 0.356 Cs
0.572 0.500 0.856 Cs
0.178 0.000 0.644 Cs
0.852 0.692 0.606 Se
0.150 0.308 0.394 Se
0.898 0.808 0.894 Se
0.294 0.808 0.106 Se
0.600 0.192 0.106 Se
0.456 0.692 0.394 Se
0.208 0.192 0.894 Se
0.542 0.308 0.606 Se
```



Computed, not measured: a geometry-optimized Cs3MnSi structure at the PBE level of DFT.

Structure (POSCAR):
```
Cs3MnSi
1.0
-0.643 2.952 -5.234
-5.540 -2.329 -0.633
-2.327 4.731 2.954
Cs Si Mn
3 1 1
Direct
0.500 0.000 0.000 Cs
0.000 0.500 0.000 Cs
0.000 0.000 0.500 Cs
0.500 0.500 0.500 Si
0.000 0.000 0.000 Mn
```



Computed, not measured: a geometry-optimized CsMnSi2Te8 structure at the PBE level of DFT.

Structure (POSCAR):
```
CsMnSi2Te8
1.0
6.763 0.000 0.000
3.382 5.857 0.000
3.382 1.952 11.590
Si Cs Te Mn
2 1 8 1
Direct
0.732 0.732 0.804 Si
0.268 0.268 0.196 Si
0.500 0.500 0.500 Cs
0.644 0.309 0.119 Te
0.356 0.691 0.881 Te
0.802 0.802 0.594 Te
0.309 0.928 0.119 Te
0.691 0.072 0.881 Te
0.072 0.356 0.881 Te
0.198 0.198 0.406 Te
0.928 0.644 0.119 Te
0.000 0.000 0.000 Mn
```



Computed, not measured: a geometry-optimized Cs2MnSiTe4 structure at the PBE level of DFT.

Structure (POSCAR):
```
Cs2MnSiTe4
1.0
6.601 0.000 0.000
3.301 7.657 0.000
3.301 0.000 13.794
Te Cs Si Mn
8 4 2 2
Direct
0.435 0.690 0.395 Te
0.315 0.810 0.105 Te
0.520 0.310 0.605 Te
0.580 0.190 0.105 Te
0.875 0.810 0.895 Te
0.875 0.690 0.605 Te
0.170 0.310 0.395 Te
0.230 0.190 0.895 Te
0.568 0.500 0.863 Cs
0.182 0.000 0.637 Cs
0.818 0.000 0.363 Cs
0.932 0.500 0.137 Cs
0.250 0.500 0.500 Si
0.500 0.000 0.000 Si
0.750 0.500 0.500 Mn
0.000 0.000 0.000 Mn
```



| no. | formation energy without anion corrections (eV per atom) | total magnetic moment (μB/f.u.) |
| --- | --- | --- |
| 1 | -0.985 | 4.92 |
| 2 | -1.096 | 9.00 |
| 3 | -0.899 | 6.00 |
| 4 | -0.920 | 9.35 |
| 5 | -0.675 | 1.16 |
| 6 | -1.096 | 3.00 |
| 7 | -1.226 | 3.95 |
| 8 | -0.958 | 4.00 |
| 9 | -1.158 | 5.00 |
| 10 | 1.215 | 6.00 |
| 11 | -0.103 | 1.25 |
| 12 | -0.575 | 5.00 |